# 1
DFT (GGA-PBE) results for a geometry-optimized TbTaBi2O8 structure.

POSCAR file:
```
TbTaBi2O8
1.0
-3.090 -3.221 -2.427
-1.550 -1.922 4.435
-5.057 4.661 0.253
O Ta Tb Bi
8 1 1 2
Direct
0.818 0.184 0.221 O
0.818 0.184 0.779 O
0.182 0.816 0.779 O
0.315 0.312 0.500 O
0.182 0.816 0.221 O
0.716 0.718 0.000 O
0.685 0.688 0.500 O
0.284 0.282 0.000 O
0.000 0.000 0.000 Ta
0.000 0.000 0.500 Tb
0.500 0.500 0.755 Bi
0.500 0.500 0.245 Bi
```

Calculated values
energy relative to the elements, uncorrected = -2058 meV/atom
space group = No. 10

# 2
DFT (GGA-PBE) results for a geometry-optimized MnSeIN2 structure.

POSCAR file:
```
MnSeIN2
1.0
-3.397 -0.490 -1.756
-0.712 -3.062 2.231
-3.082 4.203 4.786
Se Mn I N
1 1 1 2
Direct
0.000 0.000 0.000 Se
0.500 0.500 0.500 Mn
0.000 0.000 0.500 I
0.000 0.500 0.000 N
0.500 0.000 0.000 N
```

Calculated values
energy relative to the elements, uncorrected = 1570 meV/atom
energy relative to the lowest polymorph listed for this composition = 621 meV per atom
space group = No. 123

# 3
DFT (GGA-PBE) results for a geometry-optimized NaSrCa14 structure.

POSCAR file:
```
NaSrCa14
1.0
-5.980 -2.815 4.164
7.065 -3.290 0.537
2.984 7.988 9.686
Sr Ca Na
1 14 1
Direct
0.040 0.960 0.500 Sr
0.210 0.790 0.000 Ca
0.709 0.291 0.000 Ca
0.874 0.126 0.245 Ca
0.377 0.124 0.248 Ca
0.211 0.293 0.000 Ca
0.375 0.625 0.747 Ca
0.541 0.961 0.500 Ca
0.707 0.789 0.000 Ca
0.876 0.623 0.248 Ca
0.039 0.459 0.500 Ca
0.377 0.124 0.752 Ca
0.876 0.623 0.752 Ca
0.375 0.625 0.253 Ca
0.874 0.126 0.755 Ca
0.541 0.459 0.500 Na
```

Calculated values
energy of formation = 27.7 kJ/mol of formula units
space group = No. 38

# 4
DFT (GGA-PBE) results for a geometry-optimized Ti3RhC structure.

POSCAR file:
```
Ti3RhC
1.0
3.034 0.000 0.000
-1.517 5.604 0.000
0.000 0.000 8.219
Ti C Rh
6 2 2
Direct
0.374 0.749 0.551 Ti
0.626 0.251 0.449 Ti
0.626 0.251 0.051 Ti
0.374 0.749 0.949 Ti
0.952 0.904 0.250 Ti
0.048 0.096 0.750 Ti
0.000 0.000 0.500 C
0.000 0.000 0.000 C
0.745 0.490 0.750 Rh
0.255 0.510 0.250 Rh
```

Calculated values
energy of formation = -328.4 kJ/mol of formula units
energy relative to the lowest polymorph listed for this composition = 0 meV per atom
space group = No. 63

# 5
DFT (GGA-PBE) results for a geometry-optimized ZnPb2AuBr structure.

POSCAR file:
```
ZnPb2AuBr
1.0
5.444 0.000 0.000
0.000 5.067 0.000
0.000 0.000 5.444
Br Au Pb Zn
1 1 2 1
Direct
0.000 0.500 0.000 Br
0.500 0.500 0.500 Au
0.000 0.000 0.500 Pb
0.500 0.000 0.000 Pb
0.000 0.000 0.000 Zn
```

Calculated values
energy relative to the elements, uncorrected = 281 meV/atom
space group = No. 123

# 6
DFT (GGA-PBE) results for a geometry-optimized AlPSN2 structure.

POSCAR file:
```
AlPSN2
1.0
-2.053 0.679 2.576
2.020 -1.724 2.064
3.123 5.049 1.159
N P S Al
2 1 1 1
Direct
0.500 0.000 0.000 N
0.000 0.500 0.000 N
0.000 0.000 0.000 P
0.000 0.000 0.500 S
0.500 0.500 0.500 Al
```

Calculated values
energy relative to the elements, uncorrected = 542 meV/atom
energy relative to the lowest polymorph listed for this composition = 0 meV per atom
space group = No. 123

# 7
DFT (GGA-PBE) results for a geometry-optimized LiRu3 structure.

POSCAR file:
```
LiRu3
1.0
4.920 0.003 0.010
-2.217 4.392 0.010
-2.217 -3.606 2.507
Ru Li
3 1
Direct
0.500 0.000 0.500 Ru
0.500 0.500 0.000 Ru
0.000 0.500 0.500 Ru
0.000 0.000 0.000 Li
```

Calculated values
energy of formation = 142.1 kJ/mol of formula units
space group = No. 166

# 8
DFT (GGA-PBE) results for a geometry-optimized Ca2NdCdHg4 structure.

POSCAR file:
```
Ca2NdCdHg4
1.0
-0.849 5.061 -1.072
-3.580 1.357 -3.582
-7.758 2.439 4.841
Ca Hg Cd Nd
2 4 1 1
Direct
0.242 0.242 0.274 Ca
0.758 0.758 0.726 Ca
0.372 0.372 0.884 Hg
0.878 0.878 0.366 Hg
0.628 0.628 0.116 Hg
0.122 0.122 0.634 Hg
0.500 0.500 0.500 Cd
0.000 0.000 0.000 Nd
```

Calculated values
energy of formation = -346.5 kJ/mol of formula units
space group = No. 166

Quick rundown of calculated total energy, same order as above: -7.38; -4.60; -1.92; -8.73; -2.45; -5.44; -7.07; -1.81 eV/atom